## Be2AgCl (PBE)

Data for an optimized crystal structure of Be2AgCl.

Summary:
E_form (uncorrected) (meV/atom): 222
DFT total energy (eV per cell): -11.260
V (Å³/atom): 16.92
Polymorph energy (0 for the lowest one) (eV per atom): 0.1869

POSCAR file:
```
Be2AgCl
1.0
3.0119 0.0000 0.0000
0.0000 3.0119 0.0000
0.0000 0.0000 7.4608
Be Ag Cl
2 1 1
Cartesian
0.0000 0.0000 0.0000
1.5059 1.5059 1.1972
1.5059 1.5059 6.2905
0.0000 0.0000 2.3778
```



## Ac2SbPd (PBE)

Data for an optimized crystal structure of Ac2SbPd.

Summary:
E_form (uncorrected) (meV/atom): -884
DFT total energy (eV per cell): -63.199
V (Å³/atom): 35.00
Polymorph energy (0 for the lowest one) (eV per atom): 0.0069

POSCAR file:
```
Ac2SbPd
1.0
4.5768 0.0000 0.0000
-2.2884 3.9636 0.0000
0.0000 0.0000 23.1515
Ac Sb Pd
6 3 3
Cartesian
0.0000 0.0000 5.6351
0.0000 0.0000 17.5164
0.0000 2.6424 9.7992
0.0000 2.6424 21.0695
2.2884 1.3212 2.0820
2.2884 1.3212 13.3523
0.0000 0.0000 0.0000
0.0000 2.6424 15.4344
2.2884 1.3212 7.7172
0.0000 0.0000 11.5758
0.0000 2.6424 3.8586
2.2884 1.3212 19.2929
```



## MgCu2HRu (PBE)

Data for an optimized crystal structure of MgCu2HRu.

Summary:
DFT total energy (eV per cell): -22.403
V (Å³/atom): 11.50

POSCAR file:
```
MgCu2HRu
1.0
3.8996 0.0000 0.0000
0.0000 3.8996 0.0000
0.0000 0.0000 3.7826
Mg Cu H Ru
1 2 1 1
Cartesian
0.0000 0.0000 0.0000
0.0000 1.9498 1.8913
1.9498 0.0000 1.8913
1.9498 1.9498 1.8913
1.9498 1.9498 0.0000
```



## RbInSiS4 (PBE)

Data for an optimized crystal structure of RbInSiS4.

Summary:
E_form (uncorrected) (meV/atom): -819
DFT total energy (eV per cell): -62.737
V (Å³/atom): 29.84

POSCAR file:
```
RbInSiS4
1.0
6.2125 0.0000 0.0000
0.0000 7.6358 0.0000
-2.5053 0.0000 8.8065
Rb In Si S
2 2 2 8
Cartesian
1.2995 1.9090 0.8572
2.4077 5.7269 7.9493
0.1791 1.9090 5.8223
3.5281 5.7269 2.9842
0.4132 5.7269 2.6874
3.2941 1.9090 6.1191
-1.6064 0.2121 6.2646
-1.6064 3.6058 6.2646
1.8396 5.7269 1.0739
1.5973 5.7269 4.4936
2.1099 1.9090 4.3129
1.8676 1.9090 7.7326
5.3137 4.0300 2.5419
5.3137 7.4237 2.5419
```



## Ta4Fe2Si5 (PBE)

Data for an optimized crystal structure of Ta4Fe2Si5.

Summary:
E_form (uncorrected) (meV/atom): -456
DFT total energy (eV per cell): -192.924
V (Å³/atom): 14.19

POSCAR file:
```
Ta4Fe2Si5
1.0
-3.9577 7.9941 2.4661
3.9577 -7.9941 2.4661
3.9577 7.9941 -2.4661
Ta Fe Si
8 4 10
Cartesian
5.8874 1.0118 0.0000
0.8599 2.2617 0.0000
4.8176 5.7324 0.0000
1.9298 6.9824 0.0000
2.0279 1.0118 2.4661
-0.8599 2.2617 2.4661
3.0978 5.7324 2.4661
-1.9298 6.9824 2.4661
3.9577 -3.1564 1.2331
3.9577 3.1564 1.2331
0.0000 4.8377 1.2331
0.0000 11.1505 1.2331
3.3215 1.1857 0.0000
2.3218 -4.4741 2.4661
0.0000 0.0000 1.2331
2.3218 4.4741 0.0000
3.3215 -1.1857 2.4661
0.6362 9.1798 0.0000
1.6359 3.5200 2.4661
0.0000 0.0000 3.6992
1.6359 12.4682 0.0000
0.6362 6.8084 2.4661
```



## Tl2VZn2 (PBE)

Data for an optimized crystal structure of Tl2VZn2.

Summary:
DFT total energy (eV per cell): -28.334
V (Å³/atom): 21.06
E_form (meV/atom): 446
Polymorph energy (0 for the lowest one) (eV per atom): 0.0000

POSCAR file:
```
Tl2VZn2
1.0
7.2576 0.0000 0.0000
0.0000 7.2576 0.0000
0.0000 0.0000 3.9991
Tl V Zn
4 2 4
Cartesian
1.2991 2.3296 0.0000
2.3296 5.9584 0.0000
4.9279 1.2991 0.0000
5.9584 4.9279 0.0000
0.0000 0.0000 1.9996
3.6288 3.6288 1.9996
0.9202 4.5490 1.9996
2.7086 0.9202 1.9996
4.5490 6.3374 1.9996
6.3374 2.7086 1.9996
```



## Sc11Al9Ga4 (PBE)

Data for an optimized crystal structure of Sc11Al9Ga4.

Summary:
DFT total energy (eV per cell): -126.947
V (Å³/atom): 19.09
E_form (meV/atom): -480

POSCAR file:
```
Sc11Al9Ga4
1.0
6.7229 -10.2911 0.0000
6.7229 10.2911 0.0000
0.0000 0.0000 3.3106
Sc Al Ga
11 9 4
Cartesian
0.0000 0.0000 0.0000
3.0590 3.6778 0.0000
6.7229 6.9440 0.0000
3.9555 0.0000 0.0000
6.7229 2.6616 0.0000
3.0590 -3.6778 0.0000
10.3868 3.6778 0.0000
6.7229 -2.6616 0.0000
9.4903 0.0000 0.0000
6.7229 -6.9440 0.0000
10.3868 -3.6778 0.0000
1.8733 1.5338 1.6553
5.3293 4.7737 1.6553
1.8733 -1.5338 1.6553
8.1164 4.7737 1.6553
6.7229 0.0000 1.6553
5.3293 -4.7737 1.6553
11.5725 1.5338 1.6553
8.1164 -4.7737 1.6553
11.5725 -1.5338 1.6553
4.5959 2.0907 1.6553
4.5959 -2.0907 1.6553
8.8499 2.0907 1.6553
8.8499 -2.0907 1.6553
```



## MgCdCl (PBE)

Data for an optimized crystal structure of MgCdCl.

Summary:
E_form (uncorrected) (meV/atom): -356
DFT total energy (eV per cell): -5.425
V (Å³/atom): 25.01
Polymorph energy (0 for the lowest one) (eV per atom): 0.3681

POSCAR file:
```
MgCdCl
1.0
4.7303 0.0000 0.0000
-2.3652 4.0966 0.0000
0.0000 0.0000 3.8714
Mg Cd Cl
1 1 1
Cartesian
0.0000 0.0000 0.0000
2.3652 1.3655 1.9357
0.0000 2.7310 0.0000
```



## Cs3Cd2In4 (PBE)

Data for an optimized crystal structure of Cs3Cd2In4.

Summary:
DFT total energy (eV per cell): -15.991
V (Å³/atom): 41.81
E_form (meV/atom): -72

POSCAR file:
```
Cs3Cd2In4
1.0
5.1123 0.0000 0.0000
-2.5448 7.2726 0.0000
-2.5503 -2.6405 10.1208
Cs Cd In
3 2 4
Cartesian
0.0000 0.0000 0.0000
-2.5474 4.6878 6.4379
2.5646 -0.0557 3.6829
-2.5457 0.9498 7.7560
2.5630 3.6824 2.3648
0.0101 4.2216 0.7836
0.0048 3.1112 3.7770
0.0124 1.5210 6.3437
0.0071 0.4105 9.3372
```



## TeRhPb2 (PBE)

Data for an optimized crystal structure of TeRhPb2.

Summary:
E_form (uncorrected) (meV/atom): 262
DFT total energy (eV per cell): -67.440
V (Å³/atom): 24.92

POSCAR file:
```
TeRhPb2
1.0
7.3600 0.0000 0.0000
0.0000 7.3600 0.0000
0.0000 0.0000 7.3600
Te Rh Pb
4 4 8
Cartesian
0.0000 0.0000 0.0000
0.0000 3.6800 3.6800
3.6800 0.0000 3.6800
3.6800 3.6800 0.0000
1.8400 1.8400 5.5200
1.8400 5.5200 1.8400
5.5200 1.8400 1.8400
5.5200 5.5200 5.5200
0.0000 0.0000 3.6800
0.0000 3.6800 0.0000
1.8400 1.8400 1.8400
1.8400 5.5200 5.5200
3.6800 0.0000 0.0000
3.6800 3.6800 3.6800
5.5200 1.8400 5.5200
5.5200 5.5200 1.8400
```



## Th8GaTe4Os3 (PBE)

Data for an optimized crystal structure of Th8GaTe4Os3.

Summary:
E_form (uncorrected) (meV/atom): -798
DFT total energy (eV per cell): -121.416
V (Å³/atom): 29.88

POSCAR file:
```
Th8GaTe4Os3
1.0
4.2501 2.4538 7.6390
-4.2501 2.4538 7.6390
0.0000 -4.9076 7.6390
Th Ga Te Os
8 1 4 3
Cartesian
-2.2250 -1.2846 13.0086
0.0000 0.0000 5.3722
0.0000 -2.5692 9.9085
-2.2250 1.2846 9.9085
2.2250 -1.2846 13.0086
0.0000 2.5692 13.0086
0.0000 0.0000 17.5450
2.2250 1.2846 9.9085
0.0000 0.0000 11.4586
0.0000 0.0000 0.0000
-2.1251 -1.2269 7.6390
-2.1251 1.2269 15.2781
0.0000 2.4538 7.6390
-4.2501 0.0000 11.4586
-2.1251 1.2269 3.8195
2.1251 1.2269 3.8195
```



## Li7Hg2Bi3 (PBE)

Data for an optimized crystal structure of Li7Hg2Bi3.

Summary:
DFT total energy (eV per cell): -29.773
V (Å³/atom): 21.74
E_form (meV/atom): -344

POSCAR file:
```
Li7Hg2Bi3
1.0
4.7995 0.0000 0.0000
0.0000 4.7118 0.0000
-2.3916 0.0000 11.5375
Li Hg Bi
7 2 3
Cartesian
0.0000 0.0000 0.0000
0.0004 2.3559 1.7427
0.0036 2.3559 5.0573
0.0125 0.0000 9.8239
2.3955 0.0000 1.7136
2.4044 2.3559 6.4802
2.4076 2.3559 9.7948
0.0062 2.3559 7.9319
2.4018 2.3559 3.6056
-0.0015 0.0000 3.5167
2.3998 2.3559 0.0000
2.4095 0.0000 8.0208
```



Which of these has the lowest V? MgCu2HRu



Among the records above, which one has the lowest DFT total energy? Ta4Fe2Si5



V of number 6 (Tl2VZn2)? 21.06 Å³/atom